Material: BeTcW
Method: DFT, SCAN
State: single point on PBEsol structure Values from VASP.

Computed properties:
The formation energy from the elements comes out at 0.69 eV/atom.

Geometry as Quantum ESPRESSO input:
```
&SYSTEM
  ibrav = 0, nat = 3, ntyp = 3
/
ATOMIC_SPECIES
Be 9.01 Be.upf
Tc 98.00 Tc.upf
W 183.84 W.upf
CELL_PARAMETERS angstrom
0.000 2.864 2.864
2.864 0.000 2.864
2.864 2.864 0.000
ATOMIC_POSITIONS crystal
Be 0.000 0.000 0.000
Tc 0.750 0.750 0.750
W 0.500 0.500 0.500
```